Density functional theory data (PBE) for a relaxed structure of Th2NbSe2Br4.

Properties
volume: 275.1 Å³ per cell
DFT total energy: -49.36 eV/cell
space group: P3m1
E_form (uncorrected): -1199.3 meV/atom

Cell: 3.6849 3.6849 23.3949 Å, 90.00 90.00 120.00°
Element x y z (fractional)
1 Th 0.0000 0.0000 0.0000
2 Th 0.3333 0.6667 0.3491
3 Nb 0.3333 0.6667 0.6844
4 Se 0.0000 0.0000 0.6152
5 Se 0.0000 0.0000 0.7537
6 Br 0.0000 0.0000 0.2564
7 Br 0.0000 0.0000 0.4412
8 Br 0.3333 0.6667 0.0927
9 Br 0.3333 0.6667 0.9081